# Ca2AcAuN PBE-GGA relaxed
# Formation energy without anion corrections in eV/atom: -0.7768
# Density of states at the Fermi level in states/eV/cell: 13.72
# Calculated total energy in eV per atom: -4.720
data_Ca2AcAuN
_cell_length_a 6.6753
_cell_length_b 6.6753
_cell_length_c 11.2285
_cell_angle_alpha 90.00
_cell_angle_beta 90.00
_cell_angle_gamma 90.00
_space_group_name_H-M_alt 'I 4 c m'
_space_group_IT_number 108
_space_group_name_Hall 'I 4 -2c'
loop_
_atom_site_label
_atom_site_type_symbol
_atom_site_fract_x
_atom_site_fract_y
_atom_site_fract_z
_atom_site_occupancy
Ca1 Ca 0.2049 0.2951 0.0000 1
Ac1 Ac 0.0000 0.0000 0.2420 1
Au1 Au 0.0000 0.5000 0.2606 1
N1 N 0.0000 0.0000 0.0231 1